An optimized crystal structure of SnPPbCl2. Source: the Alexandria database, functional PBEsol.

a = 5.242 Å, b = 5.242 Å, c = 5.329 Å
α = 90.00°, β = 90.00°, γ = 90.00°
Fractional coordinates of all 5 atoms:
Sn 0.000 0.000 0.000
P 0.500 0.500 0.000
Pb 0.500 0.500 0.500
Cl 0.000 0.500 0.500
Cl 0.500 0.000 0.500

Summary:
The value obtained for the total magnetization is 0.0 μB/f.u. The uncorrected formation energy is 0.098 eV/atom. The value obtained for the density of states at the Fermi level is 2.5 states/eV/cell.